1.
# Pt2PbCl (PBE, relaxed)
data_Pt2PbCl
_chemical_formula_sum 'Pt2 Pb1 Cl1'
_symmetry_space_group_name_H-M 'P 1'
_symmetry_Int_Tables_number 1
_cell_length_a 5.314
_cell_length_b 5.314
_cell_length_c 5.314
_cell_angle_alpha 138.83
_cell_angle_beta 120.14
_cell_angle_gamma 75.23
loop_
_symmetry_equiv_pos_as_xyz
'x,y,z'
loop_
_atom_site_label
_atom_site_fract_x
_atom_site_fract_y
_atom_site_fract_z
Pt1 0.000 0.000 0.000
Pt2 0.784 0.284 0.500
Pb1 0.494 0.494 0.000
Cl1 0.190 0.690 0.500
# * energy relative to the elements, uncorrected: 152 meV/atom
# * space-group type: Imm2

2.
# Pr2CdSb (PBE, relaxed)
data_Pr2CdSb
_chemical_formula_sum 'Pr2 Cd1 Sb1'
_symmetry_space_group_name_H-M 'P 1'
_symmetry_Int_Tables_number 1
_cell_length_a 4.081
_cell_length_b 4.081
_cell_length_c 7.077
_cell_angle_alpha 90.00
_cell_angle_beta 90.00
_cell_angle_gamma 90.00
loop_
_symmetry_equiv_pos_as_xyz
'x,y,z'
loop_
_atom_site_label
_atom_site_fract_x
_atom_site_fract_y
_atom_site_fract_z
Pr1 0.000 0.000 0.243
Pr2 0.000 0.000 0.757
Cd1 0.500 0.500 0.500
Sb1 0.500 0.500 0.000
# * energy relative to the elements, uncorrected: -673 meV/atom
# * space-group type: P4/mmm

3.
# AcGdHg2 (PBE, relaxed)
data_AcGdHg2
_chemical_formula_sum 'Ac1 Gd1 Hg2'
_symmetry_space_group_name_H-M 'P 1'
_symmetry_Int_Tables_number 1
_cell_length_a 9.735
_cell_length_b 9.735
_cell_length_c 9.735
_cell_angle_alpha 23.60
_cell_angle_beta 23.60
_cell_angle_gamma 23.60
loop_
_symmetry_equiv_pos_as_xyz
'x,y,z'
loop_
_atom_site_label
_atom_site_fract_x
_atom_site_fract_y
_atom_site_fract_z
Ac1 0.000 0.000 0.000
Gd1 0.500 0.500 0.500
Hg1 0.244 0.244 0.244
Hg2 0.756 0.756 0.756
# * energy of formation from the pure elements: -0.32 eV per atom
# * space-group type: R-3m

4.
# ScI2F (PBE, relaxed)
data_ScI2F
_chemical_formula_sum 'Sc1 I2 F1'
_symmetry_space_group_name_H-M 'P 1'
_symmetry_Int_Tables_number 1
_cell_length_a 5.077
_cell_length_b 5.077
_cell_length_c 5.077
_cell_angle_alpha 60.00
_cell_angle_beta 60.00
_cell_angle_gamma 60.00
loop_
_symmetry_equiv_pos_as_xyz
'x,y,z'
loop_
_atom_site_label
_atom_site_fract_x
_atom_site_fract_y
_atom_site_fract_z
Sc1 0.000 0.000 0.000
I1 0.250 0.250 0.250
I2 0.750 0.750 0.750
F1 0.500 0.500 0.500
# * energy relative to the elements, uncorrected: -1207 meV/atom
# * space-group type: Fm-3m

5.
# CsLi2YF (PBE, relaxed)
data_CsLi2YF
_chemical_formula_sum 'Cs1 Li2 Y1 F1'
_symmetry_space_group_name_H-M 'P 1'
_symmetry_Int_Tables_number 1
_cell_length_a 5.486
_cell_length_b 5.486
_cell_length_c 10.629
_cell_angle_alpha 90.00
_cell_angle_beta 90.00
_cell_angle_gamma 90.00
loop_
_symmetry_equiv_pos_as_xyz
'x,y,z'
loop_
_atom_site_label
_atom_site_fract_x
_atom_site_fract_y
_atom_site_fract_z
Cs1 0.000 0.000 0.000
Li1 0.000 0.500 0.500
Li2 0.500 0.000 0.500
Y1 0.000 0.000 0.500
F1 0.500 0.500 0.000
# * energy relative to the elements, uncorrected: 295 meV/atom
# * space-group type: P4/mmm

6.
# Ge2Se (PBE, relaxed)
data_Ge2Se
_chemical_formula_sum 'Ge4 Se2'
_symmetry_space_group_name_H-M 'P 1'
_symmetry_Int_Tables_number 1
_cell_length_a 3.860
_cell_length_b 4.037
_cell_length_c 8.804
_cell_angle_alpha 82.78
_cell_angle_beta 77.81
_cell_angle_gamma 89.70
loop_
_symmetry_equiv_pos_as_xyz
'x,y,z'
loop_
_atom_site_label
_atom_site_fract_x
_atom_site_fract_y
_atom_site_fract_z
Ge1 0.075 0.073 0.344
Ge2 0.253 0.255 0.999
Ge3 0.747 0.745 0.001
Ge4 0.925 0.927 0.656
Se1 0.401 0.336 0.697
Se2 0.599 0.664 0.303
# * energy relative to the elements, uncorrected: -39 meV/atom
# * space-group type: P-1